Entry 1:
Crystalline Cs2SrHg2I6 at its relaxed geometry. Source: Alexandria, functional PBE-GGA.

Computed properties:
The calculation puts the formation energy (no corrections) at -1089 meV per atom. The magnetic moment comes out at 0.00 μB per formula unit.

Geometry as CIF:
```
data_Cs2SrHg2I6
_cell_length_a 8.377
_cell_length_b 8.377
_cell_length_c 9.678
_cell_angle_alpha 110.53
_cell_angle_beta 110.53
_cell_angle_gamma 66.24
_symmetry_space_group_name_H-M 'P 1'
_symmetry_Int_Tables_number 1
loop_
_symmetry_equiv_pos_as_xyz
'x,y,z'
loop_
_atom_site_label
_atom_site_type_symbol
_atom_site_fract_x
_atom_site_fract_y
_atom_site_fract_z
Cs1 Cs 0.203 0.203 0.175
Cs2 Cs 0.797 0.797 0.825
Sr1 Sr 0.000 0.000 0.500
Hg1 Hg 0.461 0.461 0.606
Hg2 Hg 0.539 0.539 0.394
I1 I 0.178 0.727 0.205
I2 I 0.256 0.256 0.616
I3 I 0.273 0.822 0.795
I4 I 0.727 0.178 0.205
I5 I 0.744 0.744 0.384
I6 I 0.822 0.273 0.795
```

=====

Entry 2:
Crystalline Cs2TaHgI6 at its relaxed geometry. Source: Alexandria, functional PBE-GGA.

Computed properties:
The calculation puts the formation energy (no corrections) at -784 meV per atom. The magnetic moment comes out at 1.00 μB per formula unit.

Geometry as CIF:
```
data_Cs2TaHgI6
_cell_length_a 8.921
_cell_length_b 8.921
_cell_length_c 8.921
_cell_angle_alpha 60.00
_cell_angle_beta 60.00
_cell_angle_gamma 60.00
_symmetry_space_group_name_H-M 'P 1'
_symmetry_Int_Tables_number 1
loop_
_symmetry_equiv_pos_as_xyz
'x,y,z'
loop_
_atom_site_label
_atom_site_type_symbol
_atom_site_fract_x
_atom_site_fract_y
_atom_site_fract_z
Cs1 Cs 0.250 0.250 0.250
Cs2 Cs 0.750 0.750 0.750
Ta1 Ta 0.000 0.000 0.000
Hg1 Hg 0.500 0.500 0.500
I1 I 0.223 0.223 0.777
I2 I 0.223 0.777 0.223
I3 I 0.223 0.777 0.777
I4 I 0.777 0.223 0.223
I5 I 0.777 0.223 0.777
I6 I 0.777 0.777 0.223
```

=====

Entry 3:
Crystalline CsTbHgI6 at its relaxed geometry. Source: Alexandria, functional PBE-GGA.

Computed properties:
The calculation puts the formation energy (no corrections) at -1049 meV per atom. The magnetic moment comes out at 0.00 μB per formula unit.

Geometry as CIF:
```
data_CsTbHgI6
_cell_length_a 8.316
_cell_length_b 8.316
_cell_length_c 8.384
_cell_angle_alpha 93.49
_cell_angle_beta 93.49
_cell_angle_gamma 124.27
_symmetry_space_group_name_H-M 'P 1'
_symmetry_Int_Tables_number 1
loop_
_symmetry_equiv_pos_as_xyz
'x,y,z'
loop_
_atom_site_label
_atom_site_type_symbol
_atom_site_fract_x
_atom_site_fract_y
_atom_site_fract_z
Cs1 Cs 0.000 0.000 0.000
Tb1 Tb 0.666 0.334 0.500
Hg1 Hg 0.366 0.634 0.500
I1 I 0.011 0.410 0.301
I2 I 0.350 0.321 0.678
I3 I 0.439 0.025 0.222
I4 I 0.590 0.989 0.699
I5 I 0.679 0.650 0.322
I6 I 0.975 0.561 0.778
```

=====

Entry 4:
Crystalline CsHgTeI2 at its relaxed geometry. Source: Alexandria, functional PBE-GGA.

Computed properties:
The calculation puts the formation energy (no corrections) at 116 meV per atom. The magnetic moment comes out at 3.09 μB per formula unit.

Geometry as CIF:
```
data_CsHgTeI2
_cell_length_a 7.427
_cell_length_b 7.427
_cell_length_c 7.904
_cell_angle_alpha 90.00
_cell_angle_beta 90.00
_cell_angle_gamma 90.00
_symmetry_space_group_name_H-M 'P 1'
_symmetry_Int_Tables_number 1
loop_
_symmetry_equiv_pos_as_xyz
'x,y,z'
loop_
_atom_site_label
_atom_site_type_symbol
_atom_site_fract_x
_atom_site_fract_y
_atom_site_fract_z
Cs1 Cs 0.000 0.000 0.000
Hg1 Hg 0.500 0.500 0.500
Te1 Te 0.000 0.000 0.500
I1 I 0.000 0.500 0.000
I2 I 0.500 0.000 0.000
```